[1]
BaAlO2 | GGA-PBE | optimized geometry

Output
symmetry = I-42d
total magnetization = 0.93 μB/f.u.
D(E_F) = 0.21 states/eV per atom
ΔE_f (raw) = -219 kJ/mol of atoms

Cell: 5.8260 5.8260 5.6479 Å, 58.95 58.95 90.00°
Each line ends with the local moment (μB).
Fractional coordinates of all 8 atoms:
Ba1 0.0000 0.0000 0.0000  0.41
Ba2 0.7500 0.2500 0.5000  0.42
O1 0.4573 0.1250 0.2500  0.01
O2 0.2927 0.6250 0.2500  0.02
O3 0.3750 0.5427 0.7500  0.02
O4 0.8750 0.7073 0.7500  0.02
Al1 0.5000 0.5000 0.0000  0.01
Al2 0.2500 0.7500 0.5000  0.01


[2]
BaAlO2 | GGA-PBE | optimized geometry

Output
symmetry = I4/mcm
total magnetization = 0.00 μB/f.u.
D(E_F) = 0.29 states/eV per atom
ΔE_f (raw) = -184 kJ/mol of atoms

Cell: 5.5982 5.5989 5.5989 Å, 64.02 73.68 106.32°
Fractional coordinates of all 8 atoms:
Ba1 0.0000 0.2501 0.7501
Ba2 0.0000 0.7499 0.2499
Al1 0.4999 0.2500 0.2500
Al2 0.5001 0.7500 0.7500
O1 0.5000 0.3672 0.8672
O2 0.2344 0.8672 0.6328
O3 0.7656 0.1328 0.3672
O4 0.5000 0.6328 0.1328


[3]
Ba3AlO5 | GGA-PBE | optimized geometry

Output
symmetry = I4/mcm
total magnetization = 1.04 μB/f.u.
D(E_F) = 0.55 states/eV per atom
ΔE_f (raw) = -248 kJ/mol of atoms

Cell: 7.3462 7.3462 7.8477 Å, 117.91 117.91 90.00°
Each line ends with the local moment (μB).
Fractional coordinates of all 18 atoms:
Ba1 0.6781 0.1781 0.0000  0.01
Ba2 0.3219 0.8219 0.0000  0.01
Ba3 0.8219 0.6781 0.0000  0.01
Ba4 0.1781 0.3219 0.0000  0.01
Ba5 0.2500 0.2500 0.5000  -0.01
Ba6 0.7500 0.7500 0.5000  -0.01
Al1 0.7500 0.2500 0.5000  -0.01
Al2 0.2500 0.7500 0.5000  -0.01
O1 0.9787 0.4787 0.6902  0.13
O2 0.7115 0.2115 0.6902  0.13
O3 0.2115 0.9787 0.6902  0.13
O4 0.4787 0.7115 0.6902  0.13
O5 0.0213 0.5213 0.3098  0.13
O6 0.2885 0.7885 0.3098  0.13
O7 0.7885 0.0213 0.3098  0.13
O8 0.5213 0.2885 0.3098  0.13
O9 0.5000 0.5000 0.0000  0.33
O10 0.0000 0.0000 0.0000  0.33


- The highest ΔE_f (raw) belongs to which entry?
  number 2